Record 1
Material: LaMg2Re
Method: DFT, PBE
State: relaxed

Lattice parameters (Å, degrees): 5.689 10.616 3.041 90.00 109.75 90.00
Space group C2/m (No. 12)
Symmetry-distinct sites (fractional):
La 0.000 0.000 0.000
Mg 0.250 0.250 0.500
Re 0.000 0.500 0.000

VASP energy in eV/atom: -4.647
Total moment in μB/f.u.: 0.00
ΔE_f in eV per atom: 0.494
Calculated density in g/cm³: 7.180

=====

Record 2
Material: La6Pm3Sm
Method: DFT, PBE
State: relaxed

Lattice parameters (Å, degrees): 11.010 19.656 6.610 90.00 90.00 90.00
Space group Cmc2_1 (No. 36)
Symmetry-distinct sites (fractional):
La 0.000 0.031 0.000
La 0.000 0.283 0.193
La 0.173 0.461 0.296
La 0.225 0.293 0.478
Pm 0.000 0.383 0.764
Pm 0.177 0.119 0.389
Sm 0.000 0.186 0.750

VASP energy in eV/atom: -4.742
Total moment in μB/f.u.: 0.00
ΔE_f in eV per atom: 0.112
Calculated density in g/cm³: 6.588

=====

Record 3
Material: UTeAu4
Method: DFT, PBE
State: relaxed

Lattice parameters (Å, degrees): 8.041 8.041 8.041 90.00 90.00 90.00
Space group F-43m (No. 216)
Symmetry-distinct sites (fractional):
U 0.000 0.000 0.000
Te 0.250 0.250 0.250
Au 0.125 0.125 0.625

VASP energy in eV/atom: -4.668
Total moment in μB/f.u.: 3.24
Formation energy from raw total energies in meV/atom: -78.1
Calculated density in g/cm³: 14.737

=====

Record 4
Material: Er2MgPb
Method: DFT, PBE
State: relaxed

Lattice parameters (Å, degrees): 3.4733 3.4733 34.6000 90.00 90.00 120.00
Space group R-3m (No. 166, hexagonal axes)
Symmetry-distinct sites (fractional):
Er 0.0000 0.0000 0.0913
Mg 0.0000 0.0000 0.5000
Pb 0.0000 0.0000 0.0000

VASP energy in eV/atom: -3.536
Total moment in μB/f.u.: 0.00
ΔE_f in eV per atom: 0.071
Calculated density in g/cm³: 7.800

=====

Record 5
Material: YZnTe2
Method: DFT, PBE
State: relaxed

Lattice parameters (Å, degrees): 7.530 7.530 7.530 90.00 90.00 90.00
Space group Fm-3m (No. 225)
Symmetry-distinct sites (fractional):
Y 0.000 0.000 0.000
Zn 0.000 0.000 0.500
Te 0.250 0.250 0.250

VASP energy in eV/atom: -4.089
Total moment in μB/f.u.: 0.00
Formation energy from raw total energies in meV/atom: -583.3
Calculated density in g/cm³: 6.370

=====

Record 6
Material: Sm2HgH3
Method: DFT, PBE
State: relaxed

Lattice parameters (Å, degrees): 15.295 3.874 7.270 90.00 113.98 90.00
Space group C2/m (No. 12)
Symmetry-distinct sites (fractional):
Sm 0.027 0.000 0.274
Sm 0.201 0.500 0.676
Hg 0.127 0.500 0.051
H 0.063 0.500 0.417
H 0.097 0.000 0.628
H 0.194 0.000 0.477

VASP energy in eV/atom: -3.810
Total moment in μB/f.u.: 0.00
Calculated density in g/cm³: 8.511

=====

Record 7
Material: MgBeW2
Method: DFT, PBE
State: relaxed

Lattice parameters (Å, degrees): 3.246 4.396 8.542 90.00 90.00 90.00
Space group Cmm2 (No. 35)
Symmetry-distinct sites (fractional):
Mg 0.000 0.000 0.000
Be 0.000 0.500 0.756
W 0.000 0.000 0.542
W 0.000 0.500 0.280

VASP energy in eV/atom: -7.514
Total moment in μB/f.u.: 0.00
ΔE_f in eV per atom: 0.293
Calculated density in g/cm³: 10.927

=====

Record 8
Material: Cs3Sm3WS8
Method: DFT, PBE
State: relaxed

Lattice parameters (Å, degrees): 8.0501 8.0501 24.7186 90.00 90.00 120.00
Space group R-3m (No. 166, hexagonal axes)
Symmetry-distinct sites (fractional):
Cs 0.0000 0.5000 0.0000
Sm 0.0000 0.5000 0.5000
W 0.0000 0.0000 0.5000
S 0.0000 0.0000 0.2289
S 0.0339 0.5169 0.2239

VASP energy in eV/atom: -5.649
Total moment in μB/f.u.: 2.00
Formation energy from raw total energies in meV/atom: -1469.5
Calculated density in g/cm³: 4.633